VASP calculation (PBE+U) on a geometry-optimized Co2Pt2O7 structure.

The value obtained for the total energy is -5.804 eV/atom. For the magnetization, the calculation gives 31.82 Bohr magnetons per cell.

The structure belongs to space group Fd-3m (No. 227, origin choice 2); the cell edges are 9.8168, 9.8168 and 9.8168 Å and the angles 90.00°, 90.00° and 90.00°. The asymmetric unit holds Co at (0.0000, 0.0000, 0.0000), Pt at (0.0000, 0.0000, 0.5000), O at (0.0997, 0.3750, 0.8750) and O at (0.1250, 0.1250, 0.1250).